# 1
# SbAsS4 | Alexandria via LeMat-Bulk | PBE | relaxed
# SG   C2/m, No. 12
# ΔE_f (raw)   -0.04 eV/atom
# ΔE to the lowest computed polymorph   0 meV/atom
data_SbAsS4
_chemical_formula_sum 'Sb1 As1 S4'
_space_group_name_H-M_alt 'P 1'
_space_group_IT_number 1
_space_group_name_Hall 'P 1'
_cell_length_a 3.647
_cell_length_b 6.222
_cell_length_c 7.888
_cell_angle_alpha 115.71
_cell_angle_beta 103.37
_cell_angle_gamma 90.00
loop_
_atom_site_label
_atom_site_type_symbol
_atom_site_fract_x
_atom_site_fract_y
_atom_site_fract_z
_atom_site_occupancy
S1 S 0.892 0.215 0.785 1
S2 S 0.108 0.785 0.215 1
Sb1 Sb 0.000 0.000 0.000 1
S3 S 0.610 0.289 0.221 1
As1 As 0.500 0.500 0.000 1
S4 S 0.390 0.711 0.779 1

=====

# 2
# TbDy3In4Te8 | Alexandria via LeMat-Bulk | PBE | relaxed
# SG   R-3m, No. 166
# ΔE_f (raw)   -0.97 eV/atom
data_TbDy3In4Te8
_chemical_formula_sum 'Tb1 Dy3 In4 Te8'
_space_group_name_H-M_alt 'P 1'
_space_group_IT_number 1
_space_group_name_Hall 'P 1'
_cell_length_a 8.828
_cell_length_b 9.582
_cell_length_c 8.826
_cell_angle_alpha 117.43
_cell_angle_beta 120.01
_cell_angle_gamma 90.00
loop_
_atom_site_label
_atom_site_type_symbol
_atom_site_fract_x
_atom_site_fract_y
_atom_site_fract_z
_atom_site_occupancy
Te1 Te 0.740 0.719 0.479 1
Dy1 Dy 0.000 0.500 0.500 1
Te2 Te 0.240 0.719 0.979 1
Te3 Te 0.739 0.719 0.979 1
Te4 Te 0.760 0.281 0.520 1
In1 In 0.000 0.000 0.500 1
Dy2 Dy 0.500 0.500 0.500 1
Te5 Te 0.261 0.281 0.021 1
Te6 Te 0.260 0.281 0.521 1
Te7 Te 0.240 0.719 0.480 1
In2 In 0.500 0.000 0.000 1
Dy3 Dy 0.500 0.500 0.000 1
Te8 Te 0.760 0.281 0.021 1
Tb1 Tb 0.000 0.500 0.000 1
In3 In 0.500 0.000 0.500 1
In4 In 0.000 0.000 0.000 1

=====

# 3
# PrSmGaSn | Alexandria via LeMat-Bulk | PBE | relaxed
# SG   Amm2, No. 38
# Energy relative to the elements   -0.708 eV/atom
# ΔE to the lowest computed polymorph   0 meV/atom
data_PrSmGaSn
_chemical_formula_sum 'Pr1 Sm1 Ga1 Sn1'
_space_group_name_H-M_alt 'P 1'
_space_group_IT_number 1
_space_group_name_Hall 'P 1'
_cell_length_a 4.606
_cell_length_b 4.262
_cell_length_c 6.215
_cell_angle_alpha 90.00
_cell_angle_beta 111.75
_cell_angle_gamma 90.00
loop_
_atom_site_label
_atom_site_type_symbol
_atom_site_fract_x
_atom_site_fract_y
_atom_site_fract_z
_atom_site_occupancy
Sm1 Sm 0.858 0.500 0.715 1
Sn1 Sn 0.422 0.000 0.845 1
Ga1 Ga 0.583 0.500 0.165 1
Pr1 Pr 0.138 0.000 0.275 1

=====

# 4
# Pr7Sm3Tl2 | Alexandria via LeMat-Bulk | PBE | relaxed
# SG   P2/m, No. 10
# Energy relative to the elements   -0.017 eV/atom
data_Pr7Sm3Tl2
_chemical_formula_sum 'Pr7 Sm3 Tl2'
_space_group_name_H-M_alt 'P 1'
_space_group_IT_number 1
_space_group_name_Hall 'P 1'
_cell_length_a 3.706
_cell_length_b 5.822
_cell_length_c 19.518
_cell_angle_alpha 103.50
_cell_angle_beta 90.00
_cell_angle_gamma 90.00
loop_
_atom_site_label
_atom_site_type_symbol
_atom_site_fract_x
_atom_site_fract_y
_atom_site_fract_z
_atom_site_occupancy
Pr1 Pr 0.000 0.000 0.000 1
Tl1 Tl 0.500 0.407 0.703 1
Tl2 Tl 0.500 0.593 0.297 1
Pr2 Pr 0.500 0.723 0.465 1
Sm1 Sm 0.000 0.861 0.641 1
Sm2 Sm 0.500 0.500 0.000 1
Pr3 Pr 0.500 0.002 0.829 1
Pr4 Pr 0.000 0.518 0.848 1
Sm3 Sm 0.000 0.139 0.359 1
Pr5 Pr 0.500 0.277 0.535 1
Pr6 Pr 0.500 0.998 0.171 1
Pr7 Pr 0.000 0.482 0.152 1

=====

# 5
# Gd2HoTe | Alexandria via LeMat-Bulk | PBE | relaxed
# SG   P4/mmm, No. 123
# ΔE_f (raw)   -0.59 eV/atom
# ΔE to the lowest computed polymorph   0 meV/atom
data_Gd2HoTe
_chemical_formula_sum 'Gd2 Ho1 Te1'
_space_group_name_H-M_alt 'P 1'
_space_group_IT_number 1
_space_group_name_Hall 'P 1'
_cell_length_a 3.920
_cell_length_b 3.920
_cell_length_c 7.782
_cell_angle_alpha 90.00
_cell_angle_beta 90.00
_cell_angle_gamma 90.00
loop_
_atom_site_label
_atom_site_type_symbol
_atom_site_fract_x
_atom_site_fract_y
_atom_site_fract_z
_atom_site_occupancy
Ho1 Ho 0.500 0.500 0.000 1
Gd1 Gd 0.000 0.000 0.275 1
Te1 Te 0.500 0.500 0.500 1
Gd2 Gd 0.000 0.000 0.725 1

=====

# 6
# Y3CoH | Alexandria via LeMat-Bulk | PBE | relaxed
# SG   Pm-3m, No. 221
# ΔE to the lowest computed polymorph   0 meV/atom
data_Y3CoH
_chemical_formula_sum 'Y3 Co1 H1'
_space_group_name_H-M_alt 'P 1'
_space_group_IT_number 1
_space_group_name_Hall 'P 1'
_cell_length_a 4.685
_cell_length_b 4.685
_cell_length_c 4.685
_cell_angle_alpha 90.00
_cell_angle_beta 90.00
_cell_angle_gamma 90.00
loop_
_atom_site_label
_atom_site_type_symbol
_atom_site_fract_x
_atom_site_fract_y
_atom_site_fract_z
_atom_site_occupancy
Y1 Y 0.000 0.500 0.000 1
Y2 Y 0.000 0.000 0.500 1
Y3 Y 0.500 0.000 0.000 1
H1 H 0.000 0.000 0.000 1
Co1 Co 0.500 0.500 0.500 1

=====

# 7
# TlH2Au2 | Alexandria via LeMat-Bulk | PBE | relaxed
# SG   P-1, No. 2
# ΔE to the lowest computed polymorph   0 meV/atom
data_TlH2Au2
_chemical_formula_sum 'Tl1 H2 Au2'
_space_group_name_H-M_alt 'P 1'
_space_group_IT_number 1
_space_group_name_Hall 'P 1'
_cell_length_a 5.433
_cell_length_b 6.928
_cell_length_c 3.511
_cell_angle_alpha 106.09
_cell_angle_beta 133.28
_cell_angle_gamma 91.22
loop_
_atom_site_label
_atom_site_type_symbol
_atom_site_fract_x
_atom_site_fract_y
_atom_site_fract_z
_atom_site_occupancy
Tl1 Tl 0.000 0.000 0.000 1
H1 H 0.332 0.666 0.435 1
Au1 Au 0.669 0.334 0.068 1
H2 H 0.668 0.334 0.565 1
Au2 Au 0.331 0.666 0.932 1

=====

# 8
# Y2Zn2Au | Alexandria via LeMat-Bulk | PBE | relaxed
# SG   P4/mbm, No. 127
# Energy relative to the elements   -0.159 eV/atom
# ΔE to the lowest computed polymorph   360 meV/atom
data_Y2Zn2Au
_chemical_formula_sum 'Y4 Zn4 Au2'
_space_group_name_H-M_alt 'P 1'
_space_group_IT_number 1
_space_group_name_Hall 'P 1'
_cell_length_a 8.077
_cell_length_b 8.077
_cell_length_c 3.767
_cell_angle_alpha 90.00
_cell_angle_beta 90.00
_cell_angle_gamma 90.00
loop_
_atom_site_label
_atom_site_type_symbol
_atom_site_fract_x
_atom_site_fract_y
_atom_site_fract_z
_atom_site_occupancy
Au1 Au 0.500 0.500 0.000 1
Zn1 Zn 0.387 0.113 0.500 1
Y1 Y 0.320 0.820 0.000 1
Zn2 Zn 0.887 0.387 0.500 1
Au2 Au 0.000 0.000 0.000 1
Y2 Y 0.180 0.320 0.000 1
Zn3 Zn 0.113 0.613 0.500 1
Zn4 Zn 0.613 0.887 0.500 1
Y3 Y 0.820 0.680 0.000 1
Y4 Y 0.680 0.180 0.000 1

=====

The following N(E_F) values (in states/eV/cell) correspond, in order, to the records above: 3.71 0.62 3.85 16.62 3.77 8.06 0.78 11.44.
The following total energy values (in eV per atom) correspond, in order, to the records above: -4.253 -4.379 -4.840 -4.379 -9.564 -5.874 -2.977 -3.910.